[1]
A plane-wave DFT calculation with PBE was carried out for a geometry-optimized Sr2Ag2AsP structure.

Computed properties:
Mass density: 5.583 Mg/m³
Crystal system: hexagonal
VASP energy: -0.2906 Ry per atom

Cell lengths 4.5038, 4.5038, 8.4133 Å; angles 90.00, 90.00, 120.00 degrees
With the nearest neighbours (Å) after each atom.
Sites, in units of the cell vectors:
Sr1 0.0000 0.0000 0.2535  3 P 3.33, 6 Ag 3.33-3.36, 3 As 3.36
P1 0.3333 0.6667 0.5000  3 Ag 2.60
Sr2 0.0000 0.0000 0.7465  3 P 3.33, 6 Ag 3.33-3.36, 3 As 3.36
Ag1 0.6667 0.3333 0.5000  3 P 2.60
Ag2 0.3333 0.6667 0.0000  3 As 2.60
As1 0.6667 0.3333 0.0000  3 Ag 2.60

---

[2]
A plane-wave DFT calculation with PBE was carried out for a geometry-optimized ErHfPO structure.

Computed properties:
Mass density: 8.235 Mg/m³
Crystal system: orthorhombic
Relative energy among the computed polymorphs: 0.773 eV per formula unit
VASP energy: -0.5893 Ry per atom

Cell lengths 3.8738, 7.2795, 5.6163 Å; angles 90.00, 90.00, 90.00 degrees
With the nearest neighbours (Å) after each atom.
Sites, in units of the cell vectors:
Er1 0.0000 0.2881 0.9518  2 O 2.20
Er2 0.0000 0.7119 0.4518  2 O 2.20
O1 0.5000 0.8398 0.3648  2 Hf 2.09-2.15, 2 Er 2.20
P1 0.0000 0.6628 0.9493  2 Hf 2.56, 3 Er 2.73-2.84
Hf1 0.5000 0.8898 0.9881  2 O 2.09-2.15
O2 0.5000 0.1602 0.8648  2 Hf 2.09-2.15, 2 Er 2.20
Hf2 0.5000 0.1102 0.4881  2 O 2.09-2.15
P2 0.0000 0.3372 0.4493  2 Hf 2.56, 3 Er 2.73-2.84

---

[3]
A plane-wave DFT calculation with PBE was carried out for a geometry-optimized TbZnAu structure.

Computed properties:
Mass density: 9.737 Mg/m³
Crystal system: hexagonal
Formation enthalpy at 0 K: -0.07 eV per atom
VASP energy: -0.2293 Ry per atom

Cell lengths 5.0712, 5.0712, 3.2259 Å; angles 90.00, 90.00, 120.00 degrees
With the nearest neighbours (Å) after each atom.
Sites, in units of the cell vectors:
Au1 0.0000 0.0000 0.0000  3 Zn 2.93, 3 Tb 2.93, 2 Au 3.23
Tb1 0.6667 0.3333 0.0000  3 Zn 2.93, 3 Au 2.93, 2 Tb 3.23
Zn1 0.3333 0.6667 0.0000  3 Au 2.93, 3 Tb 2.93, 2 Zn 3.23

---

[4]
A plane-wave DFT calculation with PBE was carried out for a geometry-optimized YHgPb2 structure.

Computed properties:
Mass density: 10.365 Mg/m³
Crystal system: cubic
VASP energy: -0.2739 Ry per atom

Cell lengths 5.4229, 5.4229, 5.4229 Å; angles 60.00, 60.00, 60.00 degrees
With the nearest neighbours (Å) after each atom.
Sites, in units of the cell vectors:
Pb1 0.5000 0.5000 0.5000  4 Hg 3.32, 4 Pb 3.32
Hg1 0.2500 0.2500 0.2500  4 Pb 3.32, 4 Y 3.32
Y1 0.0000 0.0000 0.0000  4 Hg 3.32, 4 Pb 3.32
Pb2 0.7500 0.7500 0.7500  4 Pb 3.32, 4 Y 3.32

---

[5]
A plane-wave DFT calculation with PBE was carried out for a geometry-optimized IrBr2 structure.

Computed properties:
Mass density: 8.635 Mg/m³
Crystal system: cubic
VASP energy: -0.1445 Ry per atom

Cell lengths 5.7637, 5.7637, 5.7637 Å; angles 60.00, 60.00, 60.00 degrees
With the nearest neighbours (Å) after each atom.
Sites, in units of the cell vectors:
Br1 0.6250 0.6250 0.1250  6 Br 2.88
Br2 0.6250 0.1250 0.6250  6 Br 2.88
Ir1 0.0000 0.0000 0.0000  12 Br 3.38, 4 Ir 3.53
Br3 0.6250 0.6250 0.6250  6 Br 2.88
Ir2 0.2500 0.2500 0.2500  12 Br 3.38, 4 Ir 3.53
Br4 0.1250 0.6250 0.6250  6 Br 2.88

---

[6]
A plane-wave DFT calculation with PBE was carried out for a geometry-optimized Sc2TcPd structure.

Computed properties:
Mass density: 7.096 Mg/m³
Crystal system: cubic
Formation enthalpy at 0 K: -0.55 eV per atom
Relative energy among the computed polymorphs: 0.151 eV per formula unit
VASP energy: -0.5582 Ry per atom

Cell lengths 4.6020, 6.5038, 13.8070 Å; angles 90.00, 90.00, 90.00 degrees
With the nearest neighbours (Å) after each atom.
Sites, in units of the cell vectors:
Sc1 0.0000 0.7500 0.8333  4 Pd 2.82, 4 Tc 2.82
Sc2 0.4999 0.7500 0.3333  4 Pd 2.82, 4 Tc 2.82
Sc3 0.0000 0.2500 0.1667  4 Pd 2.82, 4 Tc 2.82
Sc4 0.4999 0.2500 0.3333  4 Pd 2.82, 4 Tc 2.82
Pd1 0.5001 0.5000 0.8333  8 Sc 2.82
Sc5 0.0000 0.2500 0.5000  4 Tc 2.82, 4 Pd 2.82
Pd2 0.4999 0.5000 0.1667  8 Sc 2.82
Pd3 0.0000 0.0000 0.0000  8 Sc 2.82
Tc1 0.5001 0.0000 0.8334  8 Sc 2.82
Sc6 0.5000 0.2500 0.0000  4 Tc 2.82, 4 Pd 2.82
Sc7 0.5001 0.7500 0.6667  4 Pd 2.82, 4 Tc 2.82
Pd4 0.0000 0.0000 0.3333  8 Sc 2.82
Sc8 0.0000 0.7500 0.1667  4 Pd 2.82, 4 Tc 2.82
Sc9 0.5001 0.2500 0.6667  4 Pd 2.82, 4 Tc 2.82
Tc2 0.0000 0.5000 0.0000  8 Sc 2.82
Tc3 0.5000 0.0000 0.5000  8 Sc 2.82
Tc4 0.0000 0.5000 0.6666  8 Sc 2.82
Sc10 0.0000 0.7500 0.5000  4 Tc 2.82, 4 Pd 2.82
Tc5 0.0000 0.5000 0.3334  8 Sc 2.82
Pd5 0.5000 0.5000 0.5000  8 Sc 2.82
Pd6 0.0000 0.0000 0.6667  8 Sc 2.82
Tc6 0.4999 0.0000 0.1666  8 Sc 2.82
Sc11 0.0000 0.2500 0.8333  4 Pd 2.82, 4 Tc 2.82
Sc12 0.5000 0.7500 0.0000  4 Tc 2.82, 4 Pd 2.82

---

[7]
A plane-wave DFT calculation with PBE was carried out for a geometry-optimized ZrGeTe3Se structure.

Computed properties:
Mass density: 5.675 Mg/m³
Crystal system: orthorhombic
Relative energy among the computed polymorphs: 0.000 eV per formula unit
VASP energy: -0.3640 Ry per atom

Cell lengths 8.9012, 8.9012, 10.6016 Å; angles 90.00, 90.00, 154.16 degrees
With the nearest neighbours (Å) after each atom.
Sites, in units of the cell vectors:
Ge1 0.2278 0.7722 0.4655  1 Se 2.52, 2 Te 2.70
Te1 0.1079 0.8921 0.9709  1 Te 2.76, 2 Zr 3.02
Se1 0.7415 0.2585 0.1977  1 Ge 2.52, 2 Zr 2.79
Zr1 0.6555 0.3445 0.7719  2 Se 2.79, 1 Ge 2.88, 5 Te 2.99-3.07
Zr2 0.3445 0.6555 0.2719  2 Se 2.79, 1 Ge 2.88, 5 Te 2.99-3.07
Te2 0.9721 0.0279 0.2460  1 Te 2.76, 2 Zr 2.99
Te3 0.6236 0.3764 0.4870  2 Ge 2.70
Te4 0.0279 0.9721 0.7460  1 Te 2.76, 2 Zr 2.99
Te5 0.3764 0.6236 0.9870  2 Ge 2.70
Ge2 0.7722 0.2278 0.9655  1 Se 2.52, 2 Te 2.70
Se2 0.2585 0.7415 0.6977  1 Ge 2.52, 2 Zr 2.79
Te6 0.8921 0.1079 0.4709  1 Te 2.76, 2 Zr 3.02

---

[8]
A plane-wave DFT calculation with PBE was carried out for a geometry-optimized GdSbAsO structure.

Computed properties:
Mass density: 6.238 Mg/m³
Crystal system: orthorhombic
Relative energy among the computed polymorphs: 0.660 eV per formula unit
VASP energy: -0.4282 Ry per atom

Cell lengths 4.0373, 8.1315, 5.9990 Å; angles 90.00, 90.00, 90.00 degrees
With the nearest neighbours (Å) after each atom.
Sites, in units of the cell vectors:
Gd1 0.0000 0.1803 0.4394  2 O 2.17
Sb1 0.5000 0.6064 0.5355  1 O 2.21
As1 0.0000 0.8225 0.4293  2 Sb 2.75, 3 Gd 2.91-3.06
Gd2 0.0000 0.8197 0.9394  2 O 2.17
O1 0.5000 0.7471 0.8498  2 Gd 2.17, 1 Sb 2.21
As2 0.0000 0.1775 0.9293  2 Sb 2.75, 3 Gd 2.91-3.06
O2 0.5000 0.2529 0.3498  2 Gd 2.17, 1 Sb 2.21
Sb2 0.5000 0.3936 0.0355  1 O 2.21